1.
# CeInGe2Pd5 PBE relaxed
# Formation energy from the elements, kJ/mol of formula units: -438
# Size of the total moment, μB per formula unit: 0.52
# DOS at the Fermi energy, states/eV per cell: 6.34
# DFT total energy, eV/atom: -5.38
data_CeInGe2Pd5
_chemical_formula_sum 'Ce1 In1 Ge2 Pd5'
_space_group_name_H-M_alt 'P 1'
_space_group_IT_number 1
_space_group_name_Hall 'P 1'
_cell_length_a 4.586
_cell_length_b 4.586
_cell_length_c 8.028
_cell_angle_alpha 90.00
_cell_angle_beta 90.00
_cell_angle_gamma 90.00
loop_
_atom_site_label
_atom_site_type_symbol
_atom_site_fract_x
_atom_site_fract_y
_atom_site_fract_z
_atom_site_occupancy
Ce1 Ce 0.000 0.000 0.500 1
In1 In 0.000 0.000 0.000 1
Ge1 Ge 0.500 0.500 0.153 1
Ge2 Ge 0.500 0.500 0.847 1
Pd1 Pd 0.000 0.500 0.269 1
Pd2 Pd 0.500 0.000 0.269 1
Pd3 Pd 0.000 0.500 0.731 1
Pd4 Pd 0.500 0.000 0.731 1
Pd5 Pd 0.500 0.500 0.500 1

***

2.
# Ce2InGe3Pd4 PBE relaxed
# Formation energy from the elements, kJ/mol of formula units: -705
# Size of the total moment, μB per formula unit: 1.53
# DOS at the Fermi energy, states/eV per cell: 15.11
# DFT total energy, eV/atom: -5.65
data_Ce2InGe3Pd4
_chemical_formula_sum 'Ce2 In1 Ge3 Pd4'
_space_group_name_H-M_alt 'P 1'
_space_group_IT_number 1
_space_group_name_Hall 'P 1'
_cell_length_a 4.284
_cell_length_b 4.284
_cell_length_c 10.856
_cell_angle_alpha 90.00
_cell_angle_beta 90.00
_cell_angle_gamma 90.00
loop_
_atom_site_label
_atom_site_type_symbol
_atom_site_fract_x
_atom_site_fract_y
_atom_site_fract_z
_atom_site_occupancy
Ce1 Ce 0.500 0.000 0.239 1
Ce2 Ce 0.000 0.500 0.761 1
In1 In 0.500 0.500 0.500 1
Ge1 Ge 0.000 0.000 0.500 1
Ge2 Ge 0.500 0.000 0.874 1
Ge3 Ge 0.000 0.500 0.126 1
Pd1 Pd 0.500 0.500 0.000 1
Pd2 Pd 0.000 0.000 0.000 1
Pd3 Pd 0.500 0.000 0.649 1
Pd4 Pd 0.000 0.500 0.351 1

***

3.
# Ce2InGe3Pt4 PBE relaxed
# Formation energy from the elements, kJ/mol of formula units: -813
# Size of the total moment, μB per formula unit: 1.45
# DOS at the Fermi energy, states/eV per cell: 13.90
# DFT total energy, eV/atom: -6.11
data_Ce2InGe3Pt4
_chemical_formula_sum 'Ce2 In1 Ge3 Pt4'
_space_group_name_H-M_alt 'P 1'
_space_group_IT_number 1
_space_group_name_Hall 'P 1'
_cell_length_a 4.285
_cell_length_b 4.285
_cell_length_c 10.873
_cell_angle_alpha 90.00
_cell_angle_beta 90.00
_cell_angle_gamma 90.00
loop_
_atom_site_label
_atom_site_type_symbol
_atom_site_fract_x
_atom_site_fract_y
_atom_site_fract_z
_atom_site_occupancy
Ce1 Ce 0.500 0.000 0.240 1
Ce2 Ce 0.000 0.500 0.760 1
In1 In 0.500 0.500 0.500 1
Ge1 Ge 0.000 0.000 0.500 1
Ge2 Ge 0.500 0.000 0.874 1
Ge3 Ge 0.000 0.500 0.126 1
Pt1 Pt 0.500 0.500 0.000 1
Pt2 Pt 0.000 0.000 0.000 1
Pt3 Pt 0.500 0.000 0.650 1
Pt4 Pt 0.000 0.500 0.350 1

***

4.
# CeInGePt PBE relaxed
# Formation energy from the elements, kJ/mol of formula units: -226
# Size of the total moment, μB per formula unit: 0.76
# DOS at the Fermi energy, states/eV per cell: 5.27
# DFT total energy, eV/atom: -5.42
data_CeInGePt
_chemical_formula_sum 'Ce1 In1 Ge1 Pt1'
_space_group_name_H-M_alt 'P 1'
_space_group_IT_number 1
_space_group_name_Hall 'P 1'
_cell_length_a 4.943
_cell_length_b 4.943
_cell_length_c 4.943
_cell_angle_alpha 60.00
_cell_angle_beta 60.00
_cell_angle_gamma 60.00
loop_
_atom_site_label
_atom_site_type_symbol
_atom_site_fract_x
_atom_site_fract_y
_atom_site_fract_z
_atom_site_occupancy
Ge1 Ge 0.250 0.250 0.250 1
Ce1 Ce 0.000 0.000 0.000 1
Pt1 Pt 0.750 0.750 0.750 1
In1 In 0.500 0.500 0.500 1

***

5.
# CeIn2Ge2Pt7 PBE relaxed
# Formation energy from the elements, kJ/mol of formula units: -660
# Size of the total moment, μB per formula unit: 0.13
# DOS at the Fermi energy, states/eV per cell: 5.25
# DFT total energy, eV/atom: -5.81
data_CeIn2Ge2Pt7
_chemical_formula_sum 'Ce1 In2 Ge2 Pt7'
_space_group_name_H-M_alt 'P 1'
_space_group_IT_number 1
_space_group_name_Hall 'P 1'
_cell_length_a 4.000
_cell_length_b 4.000
_cell_length_c 15.407
_cell_angle_alpha 79.42
_cell_angle_beta 79.42
_cell_angle_gamma 90.29
loop_
_atom_site_label
_atom_site_type_symbol
_atom_site_fract_x
_atom_site_fract_y
_atom_site_fract_z
_atom_site_occupancy
Ce1 Ce 0.000 0.000 0.000 1
In1 In 0.705 0.705 0.409 1
In2 In 0.295 0.295 0.591 1
Ge1 Ge 0.675 0.675 0.747 1
Ge2 Ge 0.325 0.325 0.253 1
Pt1 Pt 0.500 0.500 0.000 1
Pt2 Pt 0.193 0.193 0.416 1
Pt3 Pt 0.807 0.807 0.584 1
Pt4 Pt 0.898 0.397 0.149 1
Pt5 Pt 0.397 0.898 0.149 1
Pt6 Pt 0.603 0.102 0.851 1
Pt7 Pt 0.102 0.603 0.851 1

***

6.
# Ce5PuInGe2 PBE relaxed
# Formation energy from the elements, kJ/mol of formula units: -344
# Size of the total moment, μB per formula unit: 9.17
# DOS at the Fermi energy, states/eV per cell: 40.00
# DFT total energy, eV/atom: -6.62
data_Ce5PuInGe2
_chemical_formula_sum 'Ce10 Pu2 In2 Ge4'
_space_group_name_H-M_alt 'P 1'
_space_group_IT_number 1
_space_group_name_Hall 'P 1'
_cell_length_a 7.659
_cell_length_b 7.659
_cell_length_c 9.598
_cell_angle_alpha 113.51
_cell_angle_beta 113.51
_cell_angle_gamma 90.00
loop_
_atom_site_label
_atom_site_type_symbol
_atom_site_fract_x
_atom_site_fract_y
_atom_site_fract_z
_atom_site_occupancy
Ce1 Ce 0.955 0.455 0.267 1
Ce2 Ce 0.689 0.189 0.733 1
Ce3 Ce 0.045 0.545 0.733 1
Ce4 Ce 0.189 0.045 0.733 1
Ce5 Ce 0.545 0.689 0.733 1
Ce6 Ce 0.811 0.955 0.267 1
Ce7 Ce 0.455 0.311 0.267 1
Ce8 Ce 0.311 0.811 0.267 1
Ce9 Ce 0.500 0.500 0.000 1
Ce10 Ce 0.000 0.000 0.000 1
Pu1 Pu 0.250 0.750 0.500 1
Pu2 Pu 0.750 0.250 0.500 1
In1 In 0.250 0.250 0.500 1
In2 In 0.750 0.750 0.500 1
Ge1 Ge 0.123 0.377 0.000 1
Ge2 Ge 0.623 0.123 0.000 1
Ge3 Ge 0.377 0.877 0.000 1
Ge4 Ge 0.877 0.623 0.000 1

***

7.
# CePuInGe PBE relaxed
# Formation energy from the elements, kJ/mol of formula units: -109
# ΔE to the lowest computed polymorph, eV per atom: 0.1598
# Size of the total moment, μB per formula unit: 6.73
# DOS at the Fermi energy, states/eV per cell: 14.66
# DFT total energy, eV/atom: -7.19
data_CePuInGe
_chemical_formula_sum 'Ce1 Pu1 In1 Ge1'
_space_group_name_H-M_alt 'P 1'
_space_group_IT_number 1
_space_group_name_Hall 'P 1'
_cell_length_a 5.249
_cell_length_b 5.249
_cell_length_c 5.249
_cell_angle_alpha 60.00
_cell_angle_beta 60.00
_cell_angle_gamma 60.00
loop_
_atom_site_label
_atom_site_type_symbol
_atom_site_fract_x
_atom_site_fract_y
_atom_site_fract_z
_atom_site_occupancy
Ge1 Ge 0.250 0.250 0.250 1
In1 In 0.750 0.750 0.750 1
Ce1 Ce 0.500 0.500 0.500 1
Pu1 Pu 0.000 0.000 0.000 1

***

8.
# CePuInGe PBE relaxed
# Formation energy from the elements, kJ/mol of formula units: -171
# ΔE to the lowest computed polymorph, eV per atom: 0.0000
# Size of the total moment, μB per formula unit: 6.47
# DOS at the Fermi energy, states/eV per cell: 8.14
# DFT total energy, eV/atom: -7.35
data_CePuInGe
_chemical_formula_sum 'Ce1 Pu1 In1 Ge1'
_space_group_name_H-M_alt 'P 1'
_space_group_IT_number 1
_space_group_name_Hall 'P 1'
_cell_length_a 3.970
_cell_length_b 3.970
_cell_length_c 6.289
_cell_angle_alpha 90.00
_cell_angle_beta 90.00
_cell_angle_gamma 90.00
loop_
_atom_site_label
_atom_site_type_symbol
_atom_site_fract_x
_atom_site_fract_y
_atom_site_fract_z
_atom_site_occupancy
Ce1 Ce 0.500 0.500 0.571 1
Pu1 Pu 0.500 0.500 0.142 1
In1 In 0.000 0.000 0.866 1
Ge1 Ge 0.000 0.000 0.349 1

***

9.
# Ce4InGe3Rh12 PBE relaxed
# Formation energy from the elements, kJ/mol of formula units: -344
# Size of the total moment, μB per formula unit: 3.38
# DOS at the Fermi energy, states/eV per cell: 29.15
# DFT total energy, eV/atom: -6.61
data_Ce4InGe3Rh12
_chemical_formula_sum 'Ce4 In1 Ge3 Rh12'
_space_group_name_H-M_alt 'P 1'
_space_group_IT_number 1
_space_group_name_Hall 'P 1'
_cell_length_a 8.073
_cell_length_b 8.073
_cell_length_c 8.073
_cell_angle_alpha 109.47
_cell_angle_beta 109.47
_cell_angle_gamma 109.47
loop_
_atom_site_label
_atom_site_type_symbol
_atom_site_fract_x
_atom_site_fract_y
_atom_site_fract_z
_atom_site_occupancy
Ce1 Ce 0.500 0.500 0.500 1
Ce2 Ce 0.000 0.000 0.500 1
Ce3 Ce 0.500 0.000 0.000 1
Ce4 Ce 0.000 0.500 0.000 1
In1 In 0.000 0.000 0.000 1
Ge1 Ge 0.500 0.000 0.500 1
Ge2 Ge 0.500 0.500 0.000 1
Ge3 Ge 0.000 0.500 0.500 1
Rh1 Rh 0.250 0.500 0.750 1
Rh2 Rh 0.739 0.000 0.739 1
Rh3 Rh 0.261 0.000 0.261 1
Rh4 Rh 0.750 0.500 0.250 1
Rh5 Rh 0.739 0.739 0.000 1
Rh6 Rh 0.261 0.261 0.000 1
Rh7 Rh 0.750 0.250 0.500 1
Rh8 Rh 0.250 0.750 0.500 1
Rh9 Rh 0.500 0.250 0.750 1
Rh10 Rh 0.000 0.739 0.739 1
Rh11 Rh 0.500 0.750 0.250 1
Rh12 Rh 0.000 0.261 0.261 1

***

10.
# CeInGe2Rh5 PBE relaxed
# Formation energy from the elements, kJ/mol of formula units: -291
# Size of the total moment, μB per formula unit: 0.61
# DOS at the Fermi energy, states/eV per cell: 9.47
# DFT total energy, eV/atom: -6.41
data_CeInGe2Rh5
_chemical_formula_sum 'Ce1 In1 Ge2 Rh5'
_space_group_name_H-M_alt 'P 1'
_space_group_IT_number 1
_space_group_name_Hall 'P 1'
_cell_length_a 3.985
_cell_length_b 3.985
_cell_length_c 11.267
_cell_angle_alpha 90.00
_cell_angle_beta 90.00
_cell_angle_gamma 90.00
loop_
_atom_site_label
_atom_site_type_symbol
_atom_site_fract_x
_atom_site_fract_y
_atom_site_fract_z
_atom_site_occupancy
Ce1 Ce 0.000 0.000 0.500 1
In1 In 0.000 0.000 0.000 1
Ge1 Ge 0.500 0.500 0.286 1
Ge2 Ge 0.500 0.500 0.714 1
Rh1 Rh 0.000 0.500 0.165 1
Rh2 Rh 0.500 0.000 0.165 1
Rh3 Rh 0.000 0.500 0.835 1
Rh4 Rh 0.500 0.000 0.835 1
Rh5 Rh 0.500 0.500 0.500 1

***

11.
# Ce2InGeRu PBE relaxed
# Formation energy from the elements, kJ/mol of formula units: -207
# Size of the total moment, μB per formula unit: 0.63
# DOS at the Fermi energy, states/eV per cell: 16.71
# DFT total energy, eV/atom: -6.13
data_Ce2InGeRu
_chemical_formula_sum 'Ce4 In2 Ge2 Ru2'
_space_group_name_H-M_alt 'P 1'
_space_group_IT_number 1
_space_group_name_Hall 'P 1'
_cell_length_a 4.240
_cell_length_b 7.216
_cell_length_c 8.928
_cell_angle_alpha 115.88
_cell_angle_beta 90.00
_cell_angle_gamma 90.00
loop_
_atom_site_label
_atom_site_type_symbol
_atom_site_fract_x
_atom_site_fract_y
_atom_site_fract_z
_atom_site_occupancy
Ce1 Ce 0.750 0.791 0.652 1
Ce2 Ce 0.750 0.716 0.038 1
Ce3 Ce 0.250 0.209 0.348 1
Ce4 Ce 0.250 0.284 0.962 1
In1 In 0.250 0.748 0.345 1
In2 In 0.750 0.252 0.655 1
Ge1 Ge 0.250 0.526 0.723 1
Ge2 Ge 0.750 0.474 0.277 1
Ru1 Ru 0.250 0.904 0.911 1
Ru2 Ru 0.750 0.096 0.089 1

***

12.
# CeSmInGe PBE relaxed
# Formation energy from the elements, kJ/mol of formula units: -173
# Size of the total moment, μB per formula unit: 1.19
# DOS at the Fermi energy, states/eV per cell: 7.85
# DFT total energy, eV/atom: -4.95
data_CeSmInGe
_chemical_formula_sum 'Ce1 Sm1 In1 Ge1'
_space_group_name_H-M_alt 'P 1'
_space_group_IT_number 1
_space_group_name_Hall 'P 1'
_cell_length_a 5.303
_cell_length_b 5.303
_cell_length_c 5.303
_cell_angle_alpha 60.00
_cell_angle_beta 60.00
_cell_angle_gamma 60.00
loop_
_atom_site_label
_atom_site_type_symbol
_atom_site_fract_x
_atom_site_fract_y
_atom_site_fract_z
_atom_site_occupancy
Ge1 Ge 0.250 0.250 0.250 1
Ce1 Ce 0.000 0.000 0.000 1
Sm1 Sm 0.500 0.500 0.500 1
In1 In 0.750 0.750 0.750 1